# Nd5SnRh2 | Alexandria | PBE | relaxed
# E_form in eV/atom: -0.614
data_Nd5SnRh2
_cell_length_a 8.0123
_cell_length_b 8.0123
_cell_length_c 13.8644
_cell_angle_alpha 90.00
_cell_angle_beta 90.00
_cell_angle_gamma 90.00
_space_group_name_H-M_alt 'I 4/m c m'
_space_group_IT_number 140
_space_group_name_Hall '-I 4 2c'
loop_
_atom_site_label
_atom_site_fract_x
_atom_site_fract_y
_atom_site_fract_z
_atom_site_occupancy
Nd1 0.0000 0.0000 0.0000 1
Nd2 0.1603 0.3397 0.1362 1
Sn1 0.0000 0.0000 0.2500 1
Rh1 0.1382 0.3618 0.5000 1

# NdTmRu | Alexandria | PBE | relaxed
# E_form in eV/atom: -0.166
# Distance to the lowest polymorph of the same formula in meV/atom: 109
data_NdTmRu
_cell_length_a 3.5215
_cell_length_b 16.0248
_cell_length_c 5.2929
_cell_angle_alpha 90.00
_cell_angle_beta 90.00
_cell_angle_gamma 90.00
_space_group_name_H-M_alt 'C m c m'
_space_group_IT_number 63
_space_group_name_Hall '-C 2c 2'
loop_
_atom_site_label
_atom_site_fract_x
_atom_site_fract_y
_atom_site_fract_z
_atom_site_occupancy
Nd1 0.0000 0.0728 0.2500 1
Tm1 0.0000 0.2114 0.7500 1
Ru1 0.0000 0.4213 0.2500 1

# CePuSe2Cl | Alexandria | PBE | relaxed
# E_form (uncorrected) in kJ per mole of atoms: -162
data_CePuSe2Cl
_cell_length_a 4.2471
_cell_length_b 4.2471
_cell_length_c 14.0795
_cell_angle_alpha 90.00
_cell_angle_beta 90.00
_cell_angle_gamma 90.00
_space_group_name_H-M_alt 'P 4/n m m'
_space_group_IT_number 129
loop_
_space_group_symop_operation_xyz
'x,y,z'
'-x,-y,-z'
'-y+1/2,x,z'
'y+1/2,-x,-z'
'-x+1/2,-y+1/2,z'
'x+1/2,y+1/2,-z'
'y,-x+1/2,z'
'-y,x+1/2,-z'
'x+1/2,-y,-z'
'-x+1/2,y,z'
'-y,-x,-z'
'y,x,z'
'-x,y+1/2,-z'
'x,-y+1/2,z'
'y+1/2,x+1/2,-z'
'-y+1/2,-x+1/2,z'
loop_
_atom_site_label
_atom_site_fract_x
_atom_site_fract_y
_atom_site_fract_z
_atom_site_occupancy
Ce1 0.2500 0.2500 0.1017 1
Pu1 0.2500 0.2500 0.6427 1
Se1 0.2500 0.2500 0.3041 1
Se2 0.2500 0.2500 0.8850 1
Cl1 0.2500 0.7500 0.5000 1

# CaNdEr2Hg4 | Alexandria | PBE | relaxed
# E_form in eV/atom: -0.491
data_CaNdEr2Hg4
_cell_length_a 5.2880
_cell_length_b 5.2880
_cell_length_c 26.0638
_cell_angle_alpha 90.00
_cell_angle_beta 90.00
_cell_angle_gamma 120.00
_space_group_name_H-M_alt 'R -3 m'
_space_group_IT_number 166
_space_group_name_Hall '-R 3 2"'
loop_
_atom_site_label
_atom_site_fract_x
_atom_site_fract_y
_atom_site_fract_z
_atom_site_occupancy
Ca1 0.0000 0.0000 0.0000 1
Nd1 0.0000 0.0000 0.5000 1
Er1 0.0000 0.0000 0.2522 1
Hg1 0.0000 0.0000 0.1238 1
Hg2 0.0000 0.0000 0.3748 1

# AcPrSnHg | Alexandria | PBE | relaxed
# E_form in eV/atom: -0.566
# Distance to the lowest polymorph of the same formula in meV/atom: 22
data_AcPrSnHg
_cell_length_a 7.9643
_cell_length_b 7.9643
_cell_length_c 7.9643
_cell_angle_alpha 90.00
_cell_angle_beta 90.00
_cell_angle_gamma 90.00
_space_group_name_H-M_alt 'F -4 3 m'
_space_group_IT_number 216
_space_group_name_Hall 'F -4 2 3'
loop_
_atom_site_label
_atom_site_fract_x
_atom_site_fract_y
_atom_site_fract_z
_atom_site_occupancy
Ac1 0.0000 0.0000 0.0000 1
Pr1 0.0000 0.0000 0.5000 1
Sn1 0.2500 0.2500 0.2500 1
Hg1 0.2500 0.2500 0.7500 1

Copy entry 2 word for word.
# NdTmRu | Alexandria | PBE | relaxed
# E_form in eV/atom: -0.166
# Distance to the lowest polymorph of the same formula in meV/atom: 109
data_NdTmRu
_cell_length_a 3.5215
_cell_length_b 16.0248
_cell_length_c 5.2929
_cell_angle_alpha 90.00
_cell_angle_beta 90.00
_cell_angle_gamma 90.00
_space_group_name_H-M_alt 'C m c m'
_space_group_IT_number 63
_space_group_name_Hall '-C 2c 2'
loop_
_atom_site_label
_atom_site_fract_x
_atom_site_fract_y
_atom_site_fract_z
_atom_site_occupancy
Nd1 0.0000 0.0728 0.2500 1
Tm1 0.0000 0.2114 0.7500 1
Ru1 0.0000 0.4213 0.2500 1